# ReNiOF2, optimized geometry, DFT GGA+U
# density of states at the Fermi level	3.666	states/eV/cell
# energy above the most stable polymorph in this dataset	0.000	eV per formula unit
# raw total energy	-5.1746	eV/atom
data_ReNiOF2
_chemical_formula_sum 'Re1 Ni1 O1 F2'
_space_group_name_H-M_alt 'P 4/m m m'
_space_group_IT_number 123
_space_group_name_Hall '-P 4 2'
_cell_length_a 4.2513
_cell_length_b 4.2513
_cell_length_c 3.7710
_cell_angle_alpha 90.00
_cell_angle_beta 90.00
_cell_angle_gamma 90.00
loop_
_atom_site_label
_atom_site_type_symbol
_atom_site_fract_x
_atom_site_fract_y
_atom_site_fract_z
Re1 Re 0.0000 0.0000 0.0000
Ni1 Ni 0.5000 0.5000 0.5000
O1 O 0.0000 0.0000 0.5000
F1 F 0.0000 0.5000 0.0000